Below is crystalline Ir2PdCl8 at its relaxed geometry, with properties calculated at the PBE level.

a b c (Å): 7.3267 7.3267 6.2722
angles (deg): 98.81 98.81 63.56
Each line ends with the local moment (μB).
Fractional coordinates of all 11 atoms:
1 Cl 0.6877 0.0854 0.1834  0.09
2 Cl 0.0854 0.6877 0.1834  0.09
3 Cl 0.1539 0.1539 0.3372  0.06
4 Cl 0.6022 0.6022 0.3454  0.04
5 Cl 0.3978 0.3978 0.6546  0.04
6 Cl 0.8461 0.8461 0.6628  0.06
7 Cl 0.9146 0.3123 0.8166  0.09
8 Cl 0.3123 0.9146 0.8166  0.09
9 Ir 0.7750 0.7750 0.3028  0.28
10 Ir 0.2250 0.2250 0.6972  0.28
11 Pd 0.0000 0.0000 0.0000  0.70

## Properties
**Total energy**: -3.464 eV/atom